Entry 1:
Compound: ScTc2Rh
Source: the Alexandria database
Functional: GGA-PBEsol
Structure: relaxed

The calculation puts the formation energy at -0.111 eV per atom. Its raw total energy is -9.43 eV/atom. For the energy above the most stable polymorph in this dataset, the calculation gives 0.0 kJ/mol of formula units.

The space group is Immm (No. 71) and the conventional cell measures 3.283, 4.105 and 8.891 Å, with angles of 90.00, 90.00 and 90.00 degrees. Symmetry generates all atoms from Sc at (0.000, 0.000, 0.000), Tc at (0.000, 0.500, 0.252) and Rh at (0.000, 0.000, 0.500).



Entry 2:
Compound: MgRh2
Source: the Alexandria database
Functional: GGA-PBEsol
Structure: relaxed

The calculation puts the formation energy at -0.215 eV per atom. Its raw total energy is -6.21 eV/atom.

The space group is C2/m (No. 12) and the conventional cell measures 9.940, 2.756 and 6.526 Å, with angles of 90.00, 104.46 and 90.00 degrees. Symmetry generates all atoms from Mg at (0.025, 0.000, 0.297), Rh at (0.144, 0.500, 0.019) and Rh at (0.204, 0.500, 0.642).



Entry 3:
Compound: Zn2IrBr
Source: the Alexandria database
Functional: GGA-PBEsol
Structure: relaxed

The calculation puts the energy relative to the elements, uncorrected at 0.12 eV per atom. Its raw total energy is -3.60 eV/atom. For the energy above the most stable polymorph in this dataset, the calculation gives 0.0 kJ/mol of formula units.

The space group is R-3m (No. 166, hexagonal axes) and the conventional cell measures 3.1752, 3.1752 and 22.9838 Å, with angles of 90.00, 90.00 and 120.00 degrees. Symmetry generates all atoms from Zn at (0.0000, 0.0000, 0.2441), Ir at (0.0000, 0.0000, 0.5000) and Br at (0.0000, 0.0000, 0.0000).



Entry 4:
Compound: Li2HgP
Source: the Alexandria database
Functional: GGA-PBEsol
Structure: relaxed

The calculation puts the formation energy at -0.373 eV per atom. Its raw total energy is -2.95 eV/atom.

The space group is P4/mmm (No. 123) and the conventional cell measures 2.943, 2.943 and 7.338 Å, with angles of 90.00, 90.00 and 90.00 degrees. Symmetry generates all atoms from Li at (0.000, 0.000, 0.207), Hg at (0.500, 0.500, 0.500) and P at (0.500, 0.500, 0.000).



Entry 5:
Compound: SmYHg2
Source: the Alexandria database
Functional: GGA-PBEsol
Structure: relaxed

The calculation puts the formation energy at -0.578 eV per atom. Its raw total energy is -3.84 eV/atom.

The space group is Fm-3m (No. 225) and the conventional cell measures 7.384, 7.384 and 7.384 Å, with angles of 90.00, 90.00 and 90.00 degrees. Symmetry generates all atoms from Sm at (0.000, 0.000, 0.000), Y at (0.000, 0.000, 0.500) and Hg at (0.250, 0.250, 0.250).



Entry 6:
Compound: RbVN2
Source: the Alexandria database
Functional: GGA-PBEsol
Structure: relaxed

The calculation puts the energy relative to the elements, uncorrected at -0.85 eV per atom. Its raw total energy is -7.78 eV/atom.

The space group is I-42d (No. 122) and the conventional cell measures 5.743, 5.743 and 8.176 Å, with angles of 90.00, 90.00 and 90.00 degrees. Symmetry generates all atoms from Rb at (0.000, 0.000, 0.000), V at (0.000, 0.000, 0.500) and N at (0.054, 0.750, 0.625).



Entry 7:
Compound: TlSn2Br5
Source: the Alexandria database
Functional: GGA-PBEsol
Structure: relaxed

The calculation puts the energy relative to the elements, uncorrected at -0.77 eV per atom. Its raw total energy is -3.33 eV/atom.

The space group is I4/mcm (No. 140) and the conventional cell measures 8.139, 8.139 and 14.116 Å, with angles of 90.00, 90.00 and 90.00 degrees. Symmetry generates all atoms from Tl at (0.000, 0.000, 0.250), Sn at (0.165, 0.335, 0.000), Br at (0.000, 0.000, 0.000) and Br at (0.159, 0.341, 0.361).



Entry 8:
Compound: KCoI2O
Source: the Alexandria database
Functional: GGA-PBEsol
Structure: relaxed

The calculation puts the energy relative to the elements, uncorrected at 0.96 eV per atom. Its raw total energy is -2.57 eV/atom.

The space group is P4/mmm (No. 123) and the conventional cell measures 6.121, 6.121 and 4.473 Å, with angles of 90.00, 90.00 and 90.00 degrees. Symmetry generates all atoms from K at (0.000, 0.000, 0.000), Co at (0.500, 0.500, 0.500), I at (0.000, 0.500, 0.000) and O at (0.000, 0.000, 0.500).